1.
! Sm2HoH GGA-PBE relaxed; values from VASP
&SYSTEM
  ibrav = 0, nat = 4, ntyp = 3
/
ATOMIC_SPECIES
Sm 150.36 Sm.upf
Ho 164.93 Ho.upf
H 1.01 H.upf
CELL_PARAMETERS angstrom
3.401 0.000 0.000
0.000 3.401 0.000
0.000 0.000 8.530
ATOMIC_POSITIONS angstrom
Sm 0.000 0.000 6.892
Sm 0.000 0.000 1.638
Ho 1.701 1.701 4.265
H 1.701 1.701 0.000
! Distance to the lowest polymorph of the same formula: 255.3 meV/atom
! E: -4.25 eV per atom
! Total moment: 0.00 μB per formula unit

=====

2.
! Sm2Ho2H GGA-PBE relaxed; values from VASP
&SYSTEM
  ibrav = 0, nat = 5, ntyp = 3
/
ATOMIC_SPECIES
Sm 150.36 Sm.upf
Ho 164.93 Ho.upf
H 1.01 H.upf
CELL_PARAMETERS angstrom
-4.172 0.043 -2.819
2.685 -1.432 -3.997
-0.836 -4.815 1.163
ATOMIC_POSITIONS angstrom
Sm -2.086 0.022 -1.409
Ho -0.418 -2.407 0.582
Ho 1.343 -0.716 -1.998
Sm -1.161 -3.102 -2.826
H 0.000 0.000 0.000
! E: -4.56 eV per atom
! Total moment: 0.00 μB per formula unit

=====

3.
! Sm2HoH8 GGA-PBE relaxed; values from VASP
&SYSTEM
  ibrav = 0, nat = 11, ntyp = 3
/
ATOMIC_SPECIES
H 1.01 H.upf
Ho 164.93 Ho.upf
Sm 150.36 Sm.upf
CELL_PARAMETERS angstrom
-3.344 0.467 -1.592
1.477 -2.988 -3.977
-0.975 -3.255 5.469
ATOMIC_POSITIONS angstrom
H -1.170 -3.403 -2.917
H -0.623 -1.473 0.876
H -1.672 -2.373 2.816
H -0.951 -3.833 0.872
H -1.891 -1.943 -0.973
Ho -1.672 0.233 -0.796
H -3.221 -5.008 0.920
H 0.379 -0.768 -1.022
Sm 0.096 -3.014 -1.086
H -2.219 -4.302 -0.977
Sm -2.938 -2.762 0.984
! E: -4.32 eV per atom
! Total moment: 0.00 μB per formula unit

=====

4.
! SmHo3H8 GGA-PBE relaxed; values from VASP
&SYSTEM
  ibrav = 0, nat = 12, ntyp = 3
/
ATOMIC_SPECIES
Ho 164.93 Ho.upf
H 1.01 H.upf
Sm 150.36 Sm.upf
CELL_PARAMETERS angstrom
5.196 0.000 0.000
0.000 5.196 0.000
0.000 0.000 5.196
ATOMIC_POSITIONS angstrom
Ho 2.598 0.000 2.598
H 1.329 1.329 3.867
Ho 0.000 2.598 2.598
H 3.867 3.867 1.329
Sm 0.000 0.000 0.000
H 1.329 3.867 1.329
H 1.329 1.329 1.329
H 3.867 1.329 1.329
H 1.329 3.867 3.867
H 3.867 3.867 3.867
H 3.867 1.329 3.867
Ho 2.598 2.598 0.000
! E: -4.48 eV per atom
! Total moment: 0.00 μB per formula unit

=====

5.
! Sm2Ho4Tl3H2 GGA-PBE relaxed; values from VASP
&SYSTEM
  ibrav = 0, nat = 11, ntyp = 4
/
ATOMIC_SPECIES
Tl 204.38 Tl.upf
Ho 164.93 Ho.upf
H 1.01 H.upf
Sm 150.36 Sm.upf
CELL_PARAMETERS angstrom
-2.199 -4.117 -0.964
1.841 -1.910 3.960
-9.611 6.756 4.860
ATOMIC_POSITIONS angstrom
Tl -3.364 1.286 2.185
Ho -2.723 -1.438 0.573
H -2.115 -2.274 2.755
Sm -5.940 2.270 3.857
Tl -6.605 -0.558 5.671
Ho -9.266 1.063 4.821
Sm -4.030 -1.542 3.998
H -7.855 3.002 5.101
Tl 0.000 0.000 0.000
Ho -7.246 2.166 7.283
Ho -0.703 -0.335 3.034
! E: -4.07 eV per atom
! Total moment: 0.00 μB per formula unit

=====

6.
! Ho4Sn2H GGA-PBE relaxed; values from VASP
&SYSTEM
  ibrav = 0, nat = 14, ntyp = 3
/
ATOMIC_SPECIES
Ho 164.93 Ho.upf
Sn 118.71 Sn.upf
H 1.01 H.upf
CELL_PARAMETERS angstrom
-1.726 0.387 -5.993
5.911 -1.883 -1.824
-1.692 -8.324 3.106
ATOMIC_POSITIONS angstrom
Ho 4.480 -4.123 -4.127
Ho 0.956 -6.634 -1.492
Ho 2.610 -9.204 0.765
Sn -0.702 -8.421 0.686
Ho 1.537 -3.185 -3.219
Ho 3.721 -4.306 -0.691
Ho -0.118 -0.616 -5.476
Ho -1.987 -5.697 -0.584
Sn 1.977 -6.072 -4.518
H 3.592 -2.992 -2.464
Sn 3.194 -1.399 -5.397
Ho -1.228 -5.514 -4.020
Sn 0.515 -3.748 -0.193
H -1.099 -6.828 -2.246
! Distance to the lowest polymorph of the same formula: 0.0 meV/atom
! E: -4.85 eV per atom
! Total moment: 0.00 μB per formula unit

=====

7.
! Ho8Sn2H GGA-PBE relaxed; values from VASP
&SYSTEM
  ibrav = 0, nat = 11, ntyp = 3
/
ATOMIC_SPECIES
Ho 164.93 Ho.upf
H 1.01 H.upf
Sn 118.71 Sn.upf
CELL_PARAMETERS angstrom
4.904 0.000 0.000
0.000 6.827 1.013
-2.452 -1.630 8.596
ATOMIC_POSITIONS angstrom
Ho 2.452 6.427 3.054
Ho 2.452 0.033 8.841
Ho 0.000 -1.230 6.555
Ho 2.452 3.982 5.821
Ho 0.000 2.090 7.325
H 2.452 0.000 0.000
Sn 2.452 0.650 5.558
Sn 0.000 4.547 4.051
Ho 0.000 5.164 0.768
Ho 2.452 3.107 2.284
Ho 0.000 1.215 3.788
! E: -4.64 eV per atom
! Total moment: 0.00 μB per formula unit

=====

8.
! HoSnH GGA-PBE relaxed; values from VASP
&SYSTEM
  ibrav = 0, nat = 3, ntyp = 3
/
ATOMIC_SPECIES
Sn 118.71 Sn.upf
Ho 164.93 Ho.upf
H 1.01 H.upf
CELL_PARAMETERS angstrom
-5.013 0.652 0.486
0.306 -0.317 3.583
0.271 3.247 -1.554
ATOMIC_POSITIONS angstrom
Sn -3.047 1.305 2.194
Ho -0.835 0.108 0.081
H -0.554 2.167 0.239
! Distance to the lowest polymorph of the same formula: 0.0 meV/atom
! E: -4.60 eV per atom
! Total moment: 0.00 μB per formula unit

=====

9.
! Ho3Sn2H GGA-PBE relaxed; values from VASP
&SYSTEM
  ibrav = 0, nat = 12, ntyp = 3
/
ATOMIC_SPECIES
Sn 118.71 Sn.upf
Ho 164.93 Ho.upf
H 1.01 H.upf
CELL_PARAMETERS angstrom
-5.853 -1.804 0.815
2.291 -8.150 -1.582
3.496 1.569 5.151
ATOMIC_POSITIONS angstrom
Sn 2.295 -3.319 3.075
Ho -2.147 -7.304 -0.648
Ho -1.415 -2.650 -0.119
Ho -1.327 -7.547 3.125
Ho 0.922 -5.371 0.674
H 0.570 -2.039 -0.395
Sn 1.926 -7.861 2.495
Ho 1.260 -0.838 1.259
Ho -0.989 -3.014 3.710
Sn -2.362 -5.066 1.309
H -4.132 -7.916 -0.372
Sn -1.993 -0.524 1.889
! E: -4.77 eV per atom
! Total moment: 0.00 μB per formula unit

=====

10.
! Ho5Sn4H GGA-PBE relaxed; values from VASP
&SYSTEM
  ibrav = 0, nat = 10, ntyp = 3
/
ATOMIC_SPECIES
Sn 118.71 Sn.upf
Ho 164.93 Ho.upf
H 1.01 H.upf
CELL_PARAMETERS angstrom
-0.524 5.051 3.443
-6.636 3.218 -0.264
-2.285 -1.221 6.910
ATOMIC_POSITIONS angstrom
Sn -4.809 4.687 3.341
Sn -2.406 1.200 3.356
Ho -0.231 2.229 1.519
Ho -2.468 3.748 5.056
Ho -6.976 3.297 5.031
H -0.034 0.325 0.221
Sn -7.040 5.863 6.743
Sn -4.637 2.376 6.758
Ho -4.577 2.263 1.447
Ho -4.867 4.782 8.640
! E: -4.64 eV per atom
! Total moment: 0.00 μB per formula unit

=====

11.
! Ho3SnH GGA-PBE relaxed; values from VASP
&SYSTEM
  ibrav = 0, nat = 5, ntyp = 3
/
ATOMIC_SPECIES
H 1.01 H.upf
Ho 164.93 Ho.upf
Sn 118.71 Sn.upf
CELL_PARAMETERS angstrom
-2.109 -0.520 4.258
2.510 -3.998 0.754
3.479 2.569 2.037
ATOMIC_POSITIONS angstrom
H 0.000 0.000 0.000
Ho 1.740 1.284 1.019
Sn 1.940 -0.975 3.525
Ho 1.255 -1.999 0.377
Ho -1.055 -0.260 2.129
! Distance to the lowest polymorph of the same formula: 0.0 meV/atom
! E: -4.68 eV per atom
! Total moment: 0.82 μB per formula unit

=====

12.
! HoSnH GGA-PBE relaxed; values from VASP
&SYSTEM
  ibrav = 0, nat = 3, ntyp = 3
/
ATOMIC_SPECIES
Ho 164.93 Ho.upf
Sn 118.71 Sn.upf
H 1.01 H.upf
CELL_PARAMETERS angstrom
-1.686 -1.212 -2.450
-0.131 -2.840 1.495
-3.884 3.579 3.008
ATOMIC_POSITIONS angstrom
Ho -3.066 -1.327 0.661
Sn -0.058 0.019 0.030
H -2.578 0.835 1.361
! Distance to the lowest polymorph of the same formula: 290.0 meV/atom
! E: -4.31 eV per atom
! Total moment: 0.31 μB per formula unit

=====

13.
! Ho3SnH GGA-PBE relaxed; values from VASP
&SYSTEM
  ibrav = 0, nat = 10, ntyp = 3
/
ATOMIC_SPECIES
H 1.01 H.upf
Ho 164.93 Ho.upf
Sn 118.71 Sn.upf
CELL_PARAMETERS angstrom
3.544 0.000 0.000
0.000 6.519 -0.056
0.000 -1.531 10.212
ATOMIC_POSITIONS angstrom
H 2.658 0.088 6.933
Ho 0.886 4.902 0.944
Sn 2.658 3.329 8.551
Ho 2.658 0.086 9.212
Ho 0.886 4.994 6.474
Ho 2.658 -0.006 3.682
Ho 0.886 1.644 6.483
H 0.886 4.900 3.222
Ho 2.658 3.344 3.673
Sn 0.886 1.659 1.605
! Distance to the lowest polymorph of the same formula: 42.8 meV/atom
! E: -4.64 eV per atom
! Total moment: 0.00 μB per formula unit

=====

14.
! HoSnH GGA-PBE relaxed; values from VASP
&SYSTEM
  ibrav = 0, nat = 6, ntyp = 3
/
ATOMIC_SPECIES
H 1.01 H.upf
Ho 164.93 Ho.upf
Sn 118.71 Sn.upf
CELL_PARAMETERS angstrom
3.808 0.005 -0.010
1.930 5.709 -0.164
1.895 0.751 5.558
ATOMIC_POSITIONS angstrom
H 5.712 2.852 5.300
Ho 3.827 3.869 0.996
Sn 1.901 1.243 2.018
Ho 3.806 2.597 4.388
H 1.921 3.613 0.084
Sn 5.732 5.222 3.367
! Distance to the lowest polymorph of the same formula: 125.0 meV/atom
! E: -4.47 eV per atom
! Total moment: 0.00 μB per formula unit

=====

15.
! Ho4Sn2H GGA-PBE relaxed; values from VASP
&SYSTEM
  ibrav = 0, nat = 7, ntyp = 3
/
ATOMIC_SPECIES
Sn 118.71 Sn.upf
Ho 164.93 Ho.upf
H 1.01 H.upf
CELL_PARAMETERS angstrom
4.538 0.000 0.000
0.000 4.538 0.000
2.269 2.269 8.311
ATOMIC_POSITIONS angstrom
Sn 4.538 4.538 6.027
Sn 2.269 2.269 2.284
Ho 4.538 4.538 2.931
Ho 2.269 0.000 0.000
H 0.000 0.000 0.000
Ho 2.269 2.269 5.380
Ho 0.000 2.269 0.000
! Distance to the lowest polymorph of the same formula: 13.2 meV/atom
! E: -4.84 eV per atom
! Total moment: 0.48 μB per formula unit

=====

16.
! Ho2SnH3 GGA-PBE relaxed; values from VASP
&SYSTEM
  ibrav = 0, nat = 12, ntyp = 3
/
ATOMIC_SPECIES
Sn 118.71 Sn.upf
H 1.01 H.upf
Ho 164.93 Ho.upf
CELL_PARAMETERS angstrom
-1.420 1.462 3.016
0.511 -7.230 1.548
6.508 3.576 1.330
ATOMIC_POSITIONS angstrom
Sn 5.429 -0.497 4.992
H 3.342 -2.121 2.601
Ho 1.036 1.325 2.042
Ho 4.563 -3.518 3.853
H 2.640 0.631 0.937
Ho 4.220 -0.157 2.062
H 2.960 -2.824 4.958
H 3.230 1.739 2.874
Sn 0.170 -1.696 0.902
H 2.257 -0.072 3.293
Ho 1.379 -2.036 3.832
H 2.369 -3.932 3.021
! E: -4.53 eV per atom
! Total moment: 0.00 μB per formula unit

=====

17.
! HoSnH GGA-PBE relaxed; values from VASP
&SYSTEM
  ibrav = 0, nat = 18, ntyp = 3
/
ATOMIC_SPECIES
Sn 118.71 Sn.upf
H 1.01 H.upf
Ho 164.93 Ho.upf
CELL_PARAMETERS angstrom
-5.960 -1.619 -0.088
1.253 -4.071 -9.889
3.629 -1.969 7.132
ATOMIC_POSITIONS angstrom
Sn -1.317 -1.461 -2.497
Sn 1.582 -5.391 -6.373
H -3.216 -2.428 0.593
Sn 0.956 -3.355 -1.429
H 0.898 -5.568 -3.457
Ho -1.075 -2.000 0.687
H 0.382 -2.102 -4.948
Ho 2.963 -4.853 -3.489
H 0.271 -3.532 1.489
H -0.244 -0.066 -0.004
Ho 2.336 -2.818 1.456
Ho -0.599 -4.220 4.593
Ho -0.448 -4.036 -4.257
Sn -2.617 -2.257 3.529
Sn -1.990 -4.292 -1.416
Sn 2.939 -5.465 -0.309
Ho -3.602 -4.287 -7.484
H -2.589 -4.464 -4.353
! Distance to the lowest polymorph of the same formula: 232.1 meV/atom
! E: -4.37 eV per atom
! Total moment: 0.00 μB per formula unit

=====

18.
! Ho5Sn2H GGA-PBE relaxed; values from VASP
&SYSTEM
  ibrav = 0, nat = 8, ntyp = 3
/
ATOMIC_SPECIES
Ho 164.93 Ho.upf
H 1.01 H.upf
Sn 118.71 Sn.upf
CELL_PARAMETERS angstrom
6.875 -0.004 -0.001
-0.004 6.875 -0.001
-3.436 -3.436 4.418
ATOMIC_POSITIONS angstrom
Ho 3.435 3.435 2.266
H 0.000 0.000 0.064
Ho 5.152 1.720 0.016
Ho 1.721 1.721 0.017
Ho 1.720 5.152 0.016
Sn 3.438 -0.002 2.231
Ho 5.150 5.150 0.016
Sn -0.002 3.438 2.231
! E: -4.65 eV per atom
! Total moment: 0.01 μB per formula unit

=====

19.
! Ho2Sn2H GGA-PBE relaxed; values from VASP
&SYSTEM
  ibrav = 0, nat = 10, ntyp = 3
/
ATOMIC_SPECIES
Sn 118.71 Sn.upf
Ho 164.93 Ho.upf
H 1.01 H.upf
CELL_PARAMETERS angstrom
-1.177 -3.768 -0.511
4.032 -0.335 -6.818
6.804 -0.573 4.052
ATOMIC_POSITIONS angstrom
Sn 6.239 -1.297 -4.811
Ho 3.953 -3.619 2.078
Ho 7.314 -2.401 0.857
H 5.496 -2.069 2.596
H 2.808 -2.494 -3.582
Ho 4.072 -0.921 -2.593
Sn 4.863 -3.499 -0.906
Ho 3.467 -2.368 -6.030
Sn 7.515 -4.222 -1.683
Sn 1.637 -0.412 -0.737
! E: -4.61 eV per atom
! Total moment: 0.00 μB per formula unit

=====

20.
! Sr2HoH4 GGA-PBE relaxed; values from VASP
&SYSTEM
  ibrav = 0, nat = 7, ntyp = 3
/
ATOMIC_SPECIES
Ho 164.93 Ho.upf
H 1.01 H.upf
Sr 87.62 Sr.upf
CELL_PARAMETERS angstrom
4.300 0.000 0.000
0.000 4.300 0.000
2.150 2.150 6.675
ATOMIC_POSITIONS angstrom
Ho 0.000 0.000 0.000
H 2.150 2.150 4.465
H 0.000 2.150 0.000
Sr 4.300 4.300 4.702
Sr 2.150 2.150 1.974
H 2.150 0.000 0.000
H 4.300 4.300 2.210
! E: -3.36 eV per atom
! Total moment: 0.00 μB per formula unit